Entry 1:
# NdDy2HoAg4 | Alexandria via LeMat-Bulk | PBE | optimized geometry
# - Space group: R-3m (166)
# - Uncorrected energy: -4.045 eV/atom
# - Calculated formation energy: -0.30 eV/atom
data_NdDy2HoAg4
_space_group_name_H-M_alt 'P 1'
_space_group_IT_number 1
_cell_length_a 9.004
_cell_length_b 9.004
_cell_length_c 9.004
_cell_angle_alpha 33.41
_cell_angle_beta 33.41
_cell_angle_gamma 33.41
loop_
_space_group_symop_operation_xyz
'x,y,z'
loop_
_atom_site_label
_atom_site_fract_x
_atom_site_fract_y
_atom_site_fract_z
_atom_site_occupancy
Nd1 0.000 0.000 0.000 1
Dy1 0.249 0.249 0.249 1
Dy2 0.751 0.751 0.751 1
Ho1 0.500 0.500 0.500 1
Ag1 0.127 0.127 0.127 1
Ag2 0.378 0.378 0.378 1
Ag3 0.622 0.622 0.622 1
Ag4 0.873 0.873 0.873 1

Entry 2:
# DyHoNiAg | Alexandria via LeMat-Bulk | PBE | optimized geometry
# - Space group: F-43m (216)
# - Uncorrected energy: -4.772 eV/atom
# - Calculated formation energy: -0.32 eV/atom
data_DyHoNiAg
_space_group_name_H-M_alt 'P 1'
_space_group_IT_number 1
_cell_length_a 7.014
_cell_length_b 7.014
_cell_length_c 7.014
_cell_angle_alpha 90.00
_cell_angle_beta 90.00
_cell_angle_gamma 90.00
loop_
_space_group_symop_operation_xyz
'x,y,z'
loop_
_atom_site_label
_atom_site_fract_x
_atom_site_fract_y
_atom_site_fract_z
_atom_site_occupancy
Dy1 0.000 0.000 0.000 1
Dy2 0.000 0.500 0.500 1
Dy3 0.500 0.000 0.500 1
Dy4 0.500 0.500 0.000 1
Ho1 0.000 0.000 0.500 1
Ho2 0.000 0.500 0.000 1
Ho3 0.500 0.000 0.000 1
Ho4 0.500 0.500 0.500 1
Ni1 0.250 0.250 0.250 1
Ni2 0.250 0.750 0.750 1
Ni3 0.750 0.250 0.750 1
Ni4 0.750 0.750 0.250 1
Ag1 0.250 0.250 0.750 1
Ag2 0.250 0.750 0.250 1
Ag3 0.750 0.250 0.250 1
Ag4 0.750 0.750 0.750 1

Entry 3:
# DyHoAgOs | Alexandria via LeMat-Bulk | PBE | optimized geometry
# - Energy relative to the lowest polymorph listed for this composition: 44 meV per atom
# - Space group: F-43m (216)
# - Uncorrected energy: -6.100 eV/atom
# - Calculated formation energy: -0.29 eV/atom
data_DyHoAgOs
_space_group_name_H-M_alt 'P 1'
_space_group_IT_number 1
_cell_length_a 6.982
_cell_length_b 6.982
_cell_length_c 6.982
_cell_angle_alpha 90.00
_cell_angle_beta 90.00
_cell_angle_gamma 90.00
loop_
_space_group_symop_operation_xyz
'x,y,z'
loop_
_atom_site_label
_atom_site_fract_x
_atom_site_fract_y
_atom_site_fract_z
_atom_site_occupancy
Dy1 0.000 0.000 0.000 1
Dy2 0.000 0.500 0.500 1
Dy3 0.500 0.000 0.500 1
Dy4 0.500 0.500 0.000 1
Ho1 0.000 0.000 0.500 1
Ho2 0.000 0.500 0.000 1
Ho3 0.500 0.000 0.000 1
Ho4 0.500 0.500 0.500 1
Ag1 0.250 0.250 0.750 1
Ag2 0.250 0.750 0.250 1
Ag3 0.750 0.250 0.250 1
Ag4 0.750 0.750 0.750 1
Os1 0.250 0.250 0.250 1
Os2 0.250 0.750 0.750 1
Os3 0.750 0.250 0.750 1
Os4 0.750 0.750 0.250 1

Entry 4:
# DyHoAgOs | Alexandria via LeMat-Bulk | PBE | optimized geometry
# - Energy relative to the lowest polymorph listed for this composition: 0 meV per atom
# - Space group: P4mm (99)
# - Uncorrected energy: -6.144 eV/atom
# - Calculated formation energy: -0.33 eV/atom
data_DyHoAgOs
_space_group_name_H-M_alt 'P 1'
_space_group_IT_number 1
_cell_length_a 3.400
_cell_length_b 3.400
_cell_length_c 7.583
_cell_angle_alpha 90.00
_cell_angle_beta 90.00
_cell_angle_gamma 90.00
loop_
_space_group_symop_operation_xyz
'x,y,z'
loop_
_atom_site_label
_atom_site_fract_x
_atom_site_fract_y
_atom_site_fract_z
_atom_site_occupancy
Dy1 0.000 0.000 0.000 1
Ho1 0.000 0.000 0.559 1
Ag1 0.500 0.500 0.282 1
Os1 0.500 0.500 0.778 1

Entry 5:
# DyHoAgPb | Alexandria via LeMat-Bulk | PBE | optimized geometry
# - Space group: F-43m (216)
# - Uncorrected energy: -4.321 eV/atom
# - Calculated formation energy: -0.39 eV/atom
data_DyHoAgPb
_space_group_name_H-M_alt 'P 1'
_space_group_IT_number 1
_cell_length_a 7.454
_cell_length_b 7.454
_cell_length_c 7.454
_cell_angle_alpha 90.00
_cell_angle_beta 90.00
_cell_angle_gamma 90.00
loop_
_space_group_symop_operation_xyz
'x,y,z'
loop_
_atom_site_label
_atom_site_fract_x
_atom_site_fract_y
_atom_site_fract_z
_atom_site_occupancy
Dy1 0.000 0.000 0.000 1
Dy2 0.000 0.500 0.500 1
Dy3 0.500 0.000 0.500 1
Dy4 0.500 0.500 0.000 1
Ho1 0.000 0.000 0.500 1
Ho2 0.000 0.500 0.000 1
Ho3 0.500 0.000 0.000 1
Ho4 0.500 0.500 0.500 1
Ag1 0.250 0.250 0.750 1
Ag2 0.250 0.750 0.250 1
Ag3 0.750 0.250 0.250 1
Ag4 0.750 0.750 0.750 1
Pb1 0.250 0.250 0.250 1
Pb2 0.250 0.750 0.750 1
Pb3 0.750 0.250 0.750 1
Pb4 0.750 0.750 0.250 1

Entry 6:
# DyHoAgPd | Alexandria via LeMat-Bulk | PBE | optimized geometry
# - Energy relative to the lowest polymorph listed for this composition: 0 meV per atom
# - Space group: P4mm (99)
# - Uncorrected energy: -4.913 eV/atom
# - Calculated formation energy: -0.61 eV/atom
data_DyHoAgPd
_space_group_name_H-M_alt 'P 1'
_space_group_IT_number 1
_cell_length_a 3.554
_cell_length_b 3.554
_cell_length_c 7.188
_cell_angle_alpha 90.00
_cell_angle_beta 90.00
_cell_angle_gamma 90.00
loop_
_space_group_symop_operation_xyz
'x,y,z'
loop_
_atom_site_label
_atom_site_fract_x
_atom_site_fract_y
_atom_site_fract_z
_atom_site_occupancy
Dy1 0.000 0.000 0.000 1
Ho1 0.000 0.000 0.479 1
Ag1 0.500 0.500 0.737 1
Pd1 0.500 0.500 0.242 1